This record from Alexandria via LeMat-Bulk describes a relaxed Li2Te3O8 crystal. The functional is PBE.

Unit cell a=5.8624 b=6.2082 c=6.0294 alpha=120.99 beta=78.06 gamma=90.00
Positions (direct):
1 O 0.1517 0.3855 0.7710
2 O 0.8483 0.6145 0.2290
3 O 0.3244 0.8640 0.7280
4 O 0.2927 0.8566 0.1845
5 O 0.2927 0.3279 0.1845
6 O 0.7073 0.1434 0.8155
7 O 0.6756 0.1360 0.2720
8 O 0.7073 0.6721 0.8155
9 Li 0.4283 0.6684 0.3369
10 Li 0.5717 0.3316 0.6631
11 Te 0.0000 0.7470 0.0000
12 Te 0.5000 0.0000 0.0000
13 Te 0.0000 0.2530 0.0000

## Properties
- ρ: 4.8 g/cm³
- Raw formation energy: -1.1874 eV per atom
- Calculated total energy: -5.258 eV per atom


This record from Alexandria via LeMat-Bulk describes a relaxed NaLi2RuAu crystal. The functional is PBE.

Unit cell a=4.7835 b=4.9900 c=4.7835 alpha=90.00 beta=90.00 gamma=90.00
Positions (direct):
1 Ru 0.0000 0.0000 0.0000
2 Li 0.0000 0.0000 0.5000
3 Li 0.5000 0.0000 0.0000
4 Na 0.5000 0.5000 0.5000
5 Au 0.0000 0.5000 0.0000

## Properties
- ρ: 4.9 g/cm³
- Calculated formation energy: 10.4 kcal/mol of atoms
- Calculated total energy: -3.090 eV per atom


This record from Alexandria via LeMat-Bulk describes a relaxed Li2CaAs2 crystal. The functional is PBE.

Unit cell a=4.1880 b=4.0959 c=11.1697 alpha=90.01 beta=90.00 gamma=90.00
Positions (direct):
1 As 0.7500 0.2499 0.3545
2 As 0.2500 0.2501 0.0016
3 As 0.2500 0.7501 0.6455
4 As 0.7500 0.7499 0.9984
5 Li 0.2500 0.2500 0.4984
6 Li 0.2500 0.7502 0.8638
7 Li 0.7500 0.7500 0.5016
8 Li 0.7500 0.2498 0.1362
9 Ca 0.2500 0.7498 0.2550
10 Ca 0.7500 0.2502 0.7450

## Properties
- ρ: 3.5 g/cm³
- Calculated formation energy: -18.2 kcal/mol of atoms
- Calculated total energy: -3.814 eV per atom


This record from Alexandria via LeMat-Bulk describes a relaxed Sc2ZnNiMo crystal. The functional is PBE.

Unit cell a=4.8480 b=4.4437 c=4.8480 alpha=90.00 beta=90.00 gamma=90.00
Positions (direct):
1 Zn 0.5000 0.5000 0.5000
2 Sc 0.0000 0.0000 0.5000
3 Sc 0.5000 0.0000 0.0000
4 Ni 0.0000 0.0000 0.0000
5 Mo 0.0000 0.5000 0.0000

## Properties
- ρ: 4.9 g/cm³
- Calculated formation energy: 9.3 kcal/mol of atoms
- Calculated total energy: -5.705 eV per atom


Question: Which of these has the highest calculated total energy?
Answer: NaLi2RuAu


Question: Which of these has the lowest calculated total energy?
Answer: Sc2ZnNiMo


Question: The lowest ρ belongs to which entry?
Answer: Li2CaAs2